1.
Entry from the Alexandria database: a geometry-optimized La3HfSe6 structure (GGA-PBE).

```
La3HfSe6
1.0
7.175 0.000 0.000
0.000 9.309 0.068
0.000 -2.011 9.089
La Hf Se
6 2 12
Direct
0.478 0.917 0.726
0.978 0.726 0.917
0.401 0.403 0.597
0.901 0.597 0.403
0.978 0.083 0.274
0.478 0.274 0.083
0.022 0.194 0.806
0.522 0.806 0.194
0.190 0.688 0.636
0.690 0.636 0.688
0.195 0.430 0.900
0.695 0.900 0.430
0.165 0.031 0.969
0.671 0.223 0.777
0.171 0.777 0.223
0.665 0.969 0.031
0.195 0.100 0.570
0.695 0.570 0.100
0.190 0.364 0.312
0.690 0.312 0.364
```

## Properties
The crystal system is orthorhombic. As for the energy relative to the elements, uncorrected: -1746 meV/atom.

=====

2.
Entry from the Alexandria database: a geometry-optimized LaHf4Se8 structure (GGA-PBE).

```
LaHf4Se8
1.0
7.919 0.000 0.000
3.960 6.858 0.000
3.960 2.286 6.466
La Hf Se
1 4 8
Direct
0.750 0.750 0.750
0.923 0.359 0.359
0.359 0.923 0.359
0.359 0.359 0.923
0.359 0.359 0.359
0.634 0.122 0.122
0.122 0.634 0.122
0.122 0.122 0.634
0.122 0.122 0.122
0.182 0.606 0.606
0.606 0.182 0.606
0.606 0.606 0.182
0.606 0.606 0.606
```

## Properties
The crystal system is cubic. As for the energy relative to the elements, uncorrected: -1304 meV/atom. The energy above the most stable polymorph in this dataset is 1.930 eV/f.u.

=====

3.
Entry from the Alexandria database: a geometry-optimized LaHf4Se8 structure (GGA-PBE).

```
LaHf4Se8
1.0
6.847 0.000 3.123
2.712 6.288 3.123
0.348 0.229 8.306
La Hf Se
1 4 8
Direct
0.500 0.500 0.500
0.000 0.500 0.000
0.500 0.500 0.000
0.500 0.000 0.000
0.000 0.000 0.000
0.752 0.238 0.772
0.762 0.248 0.228
0.248 0.762 0.228
0.762 0.762 0.228
0.741 0.741 0.778
0.259 0.259 0.222
0.238 0.238 0.772
0.238 0.752 0.772
```

## Properties
The crystal system is trigonal. As for the energy relative to the elements, uncorrected: -1453 meV/atom. The energy above the most stable polymorph in this dataset is 0.000 eV/f.u.

=====

4.
Entry from the Alexandria database: a geometry-optimized La2HfSe structure (GGA-PBE).

```
La2HfSe
1.0
9.193 0.000 0.000
0.000 9.193 0.000
4.597 4.597 2.763
Hf Se La
2 2 4
Direct
0.000 0.000 0.000
0.750 0.250 0.500
0.500 0.500 0.000
0.250 0.750 0.500
0.562 0.125 0.250
0.188 0.625 0.250
0.375 0.438 0.750
0.875 0.812 0.750
```

## Properties
The crystal system is tetragonal. As for the energy relative to the elements, uncorrected: -249 meV/atom.

=====

5.
Entry from the Alexandria database: a geometry-optimized LaHfSe2 structure (GGA-PBE).

```
LaHfSe2
1.0
2.306 0.000 8.893
-1.153 1.997 8.893
-1.153 -1.997 8.893
Hf Se La
1 2 1
Direct
0.000 0.000 0.000
0.904 0.904 0.904
0.096 0.096 0.096
0.500 0.500 0.500
```

## Properties
The crystal system is trigonal. As for the energy relative to the elements, uncorrected: -858 meV/atom. The energy above the most stable polymorph in this dataset is 1.231 eV/f.u.

=====

6.
Entry from the Alexandria database: a geometry-optimized La2HfSe4 structure (GGA-PBE).

```
La2HfSe4
1.0
5.049 0.000 0.000
0.000 5.049 0.000
2.524 2.524 7.652
Hf Se La
1 4 2
Direct
0.000 0.000 0.000
0.177 0.177 0.645
0.823 0.823 0.355
0.000 0.500 0.000
0.500 0.000 0.000
0.366 0.366 0.268
0.634 0.634 0.732
```

## Properties
The crystal system is tetragonal. As for the energy relative to the elements, uncorrected: -1514 meV/atom.

=====

7.
Entry from the Alexandria database: a geometry-optimized LaHfSe2 structure (GGA-PBE).

```
LaHfSe2
1.0
2.166 0.000 9.246
-1.083 1.875 9.246
-1.083 -1.875 9.246
Hf Se La
1 2 1
Direct
0.500 0.500 0.500
0.891 0.891 0.891
0.109 0.109 0.109
0.000 0.000 0.000
```

## Properties
The crystal system is trigonal. As for the energy relative to the elements, uncorrected: -1054 meV/atom. The energy above the most stable polymorph in this dataset is 0.444 eV/f.u.

=====

8.
Entry from the Alexandria database: a geometry-optimized SrLaHf2Se structure (GGA-PBE).

```
SrLaHf2Se
1.0
-4.446 0.121 2.643
-1.527 -5.210 -2.328
2.283 -2.435 3.952
Sr Hf Se La
1 2 1 1
Direct
0.000 0.000 0.000
0.000 0.000 0.500
0.500 0.000 0.000
0.500 0.500 0.500
0.000 0.500 0.000
```

## Properties
The crystal system is tetragonal. As for the energy relative to the elements, uncorrected: 1561 meV/atom.

=====

9.
Entry from the Alexandria database: a geometry-optimized LaHf2TaSe structure (GGA-PBE).

```
LaHf2TaSe
1.0
-0.224 -4.574 2.139
1.410 -2.458 -5.108
4.900 0.320 1.199
La Hf Se Ta
1 2 1 1
Direct
0.000 0.500 0.000
0.000 0.000 0.500
0.500 0.000 0.000
0.500 0.500 0.500
0.000 0.000 0.000
```

## Properties
The crystal system is tetragonal. As for the energy relative to the elements, uncorrected: 696 meV/atom.

=====

10.
Entry from the Alexandria database: a geometry-optimized La2HfTeSe structure (GGA-PBE).

```
La2HfTeSe
1.0
5.618 0.000 0.000
0.000 5.472 0.000
0.000 0.000 5.618
Te Hf Se La
1 1 1 2
Direct
0.000 0.500 0.000
0.500 0.500 0.500
0.000 0.000 0.000
0.000 0.000 0.500
0.500 0.000 0.000
```

## Properties
The crystal system is tetragonal. As for the energy relative to the elements, uncorrected: 45 meV/atom.

=====

11.
Entry from the Alexandria database: a geometry-optimized La2HfTl3Se6 structure (GGA-PBE).

```
La2HfTl3Se6
1.0
-4.962 -4.413 -3.097
0.437 0.439 7.301
-3.630 7.155 -1.455
La Hf Tl Se
2 1 3 6
Direct
0.334 0.666 0.000
0.666 0.334 0.000
0.000 0.000 0.000
0.173 0.827 0.500
0.827 0.173 0.500
0.500 0.500 0.500
0.932 0.630 0.796
0.771 0.771 0.212
0.068 0.370 0.204
0.630 0.932 0.796
0.229 0.229 0.788
0.370 0.068 0.204
```

## Properties
The crystal system is monoclinic. As for the energy relative to the elements, uncorrected: -1243 meV/atom.

=====

12.
Entry from the Alexandria database: a geometry-optimized La3HfTl3Se8 structure (GGA-PBE).

```
La3HfTl3Se8
1.0
-4.754 6.028 -3.866
-3.639 -5.399 5.612
5.590 6.548 3.337
La Hf Tl Se
3 1 3 8
Direct
0.500 0.000 0.500
0.500 0.500 0.500
0.000 0.500 0.500
0.000 0.000 0.500
0.000 0.000 0.000
0.000 0.500 0.000
0.500 0.500 0.000
0.262 0.524 0.286
0.738 0.476 0.714
0.783 0.565 0.302
0.217 0.435 0.698
0.783 0.019 0.302
0.217 0.981 0.698
0.236 0.019 0.302
0.764 0.981 0.698
```

## Properties
The crystal system is trigonal. As for the energy relative to the elements, uncorrected: -1423 meV/atom.

=====

13.
Entry from the Alexandria database: a geometry-optimized LaHfTlSe2 structure (GGA-PBE).

```
LaHfTlSe2
1.0
5.402 0.000 0.000
0.000 5.795 0.000
0.000 0.000 5.402
Tl Hf Se La
1 1 2 1
Direct
0.000 0.000 0.000
0.500 0.500 0.500
0.000 0.000 0.500
0.500 0.000 0.000
0.000 0.500 0.000
```

## Properties
The crystal system is tetragonal. As for the energy relative to the elements, uncorrected: 783 meV/atom.

=====

14.
Entry from the Alexandria database: a geometry-optimized LaHfSi2 structure (GGA-PBE).

```
LaHfSi2
1.0
4.871 0.000 0.000
0.000 4.871 0.000
2.436 2.436 8.972
Si Hf La
4 2 2
Direct
0.801 0.125 0.250
0.949 0.625 0.250
0.375 0.199 0.750
0.875 0.051 0.750
0.000 0.000 0.000
0.750 0.250 0.500
0.500 0.500 0.000
0.250 0.750 0.500
```

## Properties
The crystal system is tetragonal. As for the energy relative to the elements, uncorrected: -29 meV/atom. The energy above the most stable polymorph in this dataset is 1.845 eV/f.u.

=====

15.
Entry from the Alexandria database: a geometry-optimized LaHfSi2 structure (GGA-PBE).

```
LaHfSi2
1.0
-2.732 -3.134 2.652
-4.383 -1.495 -1.696
-0.598 -4.651 -1.527
Si Hf La
2 1 1
Direct
0.250 0.250 0.250
0.750 0.750 0.750
0.500 0.500 0.500
0.000 0.000 0.000
```

## Properties
The crystal system is cubic. As for the energy relative to the elements, uncorrected: -213 meV/atom. The energy above the most stable polymorph in this dataset is 1.109 eV/f.u.

=====

16.
Entry from the Alexandria database: a geometry-optimized LaHfSi2 structure (GGA-PBE).

```
LaHfSi2
1.0
-3.208 -2.295 0.926
0.409 -3.116 2.557
-2.334 2.226 6.295
Si Hf La
2 1 1
Direct
0.264 0.264 0.208
0.736 0.736 0.792
0.000 0.000 0.000
0.500 0.500 0.500
```

## Properties
The crystal system is trigonal. As for the energy relative to the elements, uncorrected: -491 meV/atom. The energy above the most stable polymorph in this dataset is 0.000 eV/f.u.

=====

17.
Entry from the Alexandria database: a geometry-optimized LaHf2SiTc structure (GGA-PBE).

```
LaHf2SiTc
1.0
5.038 0.000 0.000
0.000 4.741 0.000
0.000 0.000 5.038
Si Hf Tc La
1 2 1 1
Direct
0.000 0.500 0.000
0.000 0.000 0.500
0.500 0.000 0.000
0.000 0.000 0.000
0.500 0.500 0.500
```

## Properties
The crystal system is tetragonal. As for the energy relative to the elements, uncorrected: 107 meV/atom.

=====

18.
Entry from the Alexandria database: a geometry-optimized LaHfTlSi2 structure (GGA-PBE).

```
LaHfTlSi2
1.0
5.294 0.000 0.000
0.000 5.699 0.000
0.000 0.000 5.294
Tl Hf Si La
1 1 2 1
Direct
0.000 0.500 0.000
0.500 0.500 0.500
0.000 0.000 0.500
0.500 0.000 0.000
0.000 0.000 0.000
```

## Properties
The crystal system is tetragonal. As for the energy relative to the elements, uncorrected: 1411 meV/atom.

=====

19.
Entry from the Alexandria database: a geometry-optimized La2SmHf structure (GGA-PBE).

```
La2SmHf
1.0
3.386 0.000 0.000
1.693 2.932 0.000
1.693 0.977 12.492
Hf Sm La
1 1 2
Direct
0.000 0.000 0.000
0.500 0.500 0.500
0.082 0.082 0.755
0.918 0.918 0.245
```

## Properties
The crystal system is trigonal. The energy above the most stable polymorph in this dataset is 0.788 eV/f.u. The formation energy comes out at 0.383 eV per atom.

=====

20.
Entry from the Alexandria database: a geometry-optimized LaSm2Hf structure (GGA-PBE).

```
LaSm2Hf
1.0
-1.215 -0.822 -3.065
-1.718 -2.901 -0.425
-11.476 4.594 1.432
Hf Sm La
1 2 1
Direct
0.000 0.000 0.000
0.084 0.084 0.747
0.916 0.916 0.253
0.500 0.500 0.500
```

## Properties
The crystal system is trigonal. The energy above the most stable polymorph in this dataset is 0.889 eV/f.u. The formation energy comes out at 0.404 eV per atom.